Entry 1:
# Nb3BI

A relaxed Nb3BI crystal (PBE-GGA, Alexandria via LeMat-Bulk).

Results
- Space group: Pm-3m
- D(E_F): 1.634 states/eV/atom
- Formation energy from raw total energies: 2.57 eV/atom
- Distance to the lowest polymorph of the same formula: 1001.1 kJ/mol of formula units

a b c (Å): 4.9822 4.9822 4.9822
angles (deg): 90.00 90.00 90.00
Last column: nearest neighbours and their distance in Å.
Sites, in units of the cell vectors:
Nb: 0.5000 0.0000 0.0000  2 I 2.49
Nb: 0.0000 0.0000 0.5000  2 I 2.49
Nb: 0.0000 0.5000 0.0000  2 I 2.49
B: 0.5000 0.5000 0.5000  12 Nb 3.52
I: 0.0000 0.0000 0.0000  6 Nb 2.49

=====

Entry 2:
# MnZn2Co

A relaxed MnZn2Co crystal (PBE-GGA, Alexandria via LeMat-Bulk).

Results
- Space group: Cm
- ΔE_f: 0.11 eV/atom
- D(E_F): 0.850 states/eV/atom
- Distance to the lowest polymorph of the same formula: 57.8 kJ/mol of formula units

a b c (Å): 2.6256 2.6256 8.7121
angles (deg): 81.21 81.21 59.97
Last column: nearest neighbours and their distance in Å.
Sites, in units of the cell vectors:
Mn: 0.4996 0.4996 0.5001  6 Mn 2.62-2.63, 6 Zn 2.67-2.68
Zn: 0.2526 0.2526 0.2427  3 Co 2.57-2.58, 6 Zn 2.62-2.63, 3 Mn 2.68
Zn: 0.0810 0.0810 0.7574  3 Co 2.57, 6 Zn 2.62-2.63, 3 Mn 2.67-2.68
Co: 0.6668 0.6668 0.9998  6 Zn 2.57-2.58, 6 Co 2.62-2.63

=====

Entry 3:
# P2Pt

A relaxed P2Pt crystal (PBE-GGA, Alexandria via LeMat-Bulk).

Results
- Space group: P6_3/mmc
- ΔE_f: -0.10 eV/atom
- D(E_F): 0.246 states/eV/atom

a b c (Å): 3.3430 3.3430 9.2718
angles (deg): 90.00 90.00 120.00
Last column: nearest neighbours and their distance in Å.
Sites, in units of the cell vectors:
P: 0.3333 0.6667 0.5757  3 P 2.39, 3 Pt 2.52
P: 0.6667 0.3333 0.4243  3 P 2.39, 3 Pt 2.52
P: 0.3333 0.6667 0.9243  3 P 2.39, 3 Pt 2.52
P: 0.6667 0.3333 0.0757  3 P 2.39, 3 Pt 2.52
Pt: 0.0000 0.0000 0.2500  6 P 2.52
Pt: 0.0000 0.0000 0.7500  6 P 2.52

=====

Number 1: DFT total energy -5.117 eV/atom, calculated volume 24.7 A^3/atom. Number 2: DFT total energy -4.599 eV/atom, calculated volume 12.8 A^3/atom. Number 3: DFT total energy -5.723 eV/atom, calculated volume 15.0 A^3/atom.